Model a:
Compound: LaPr6In3
Source: Alexandria via LeMat-Bulk
Functional: GGA-PBE
Structure: relaxed

D(E_F) = 1.314 states/eV/atom
calculated density = 6.43 Mg/m³
symmetry = Cmc2_1
total moment = 0.00 μB per cell

Lattice parameters (Å, degrees): 9.544 9.544 8.001 90.00 90.00 109.75
Positions (direct):
La (0.224, 0.776, 0.500)
La (0.776, 0.224, 0.000)
Pr (0.052, 0.948, 0.791)
Pr (0.074, 0.453, 0.298)
Pr (0.233, 0.302, 0.982)
Pr (0.302, 0.233, 0.482)
Pr (0.304, 0.696, 0.964)
Pr (0.453, 0.074, 0.798)
Pr (0.547, 0.926, 0.298)
Pr (0.696, 0.304, 0.464)
Pr (0.698, 0.767, 0.982)
Pr (0.767, 0.698, 0.482)
Pr (0.926, 0.547, 0.798)
Pr (0.948, 0.052, 0.291)
In (0.007, 0.271, 0.657)
In (0.271, 0.007, 0.157)
In (0.447, 0.553, 0.275)
In (0.553, 0.447, 0.775)
In (0.729, 0.993, 0.657)
In (0.993, 0.729, 0.157)

Model b:
Compound: LaPr6In3
Source: Alexandria via LeMat-Bulk
Functional: GGA-PBE
Structure: relaxed

D(E_F) = 1.171 states/eV/atom
calculated density = 6.95 Mg/m³
symmetry = P2_1/m
total moment = 0.00 μB per cell

Lattice parameters (Å, degrees): 9.733 5.635 12.355 90.00 110.48 90.00
Positions (direct):
La (0.059, 0.250, 0.433)
La (0.941, 0.750, 0.567)
Pr (0.091, 0.750, 0.883)
Pr (0.138, 0.750, 0.158)
Pr (0.161, 0.250, 0.717)
Pr (0.267, 0.750, 0.497)
Pr (0.360, 0.250, 0.321)
Pr (0.465, 0.750, 0.086)
Pr (0.535, 0.250, 0.914)
Pr (0.640, 0.750, 0.679)
Pr (0.733, 0.250, 0.503)
Pr (0.839, 0.750, 0.283)
Pr (0.862, 0.250, 0.842)
Pr (0.909, 0.250, 0.117)
In (0.229, 0.250, 0.030)
In (0.363, 0.750, 0.784)
In (0.449, 0.250, 0.620)
In (0.551, 0.750, 0.380)
In (0.637, 0.250, 0.216)
In (0.771, 0.750, 0.970)

Which structure wins on stability? model b wins.

Model a:
Compound: LaPrIn
Source: Alexandria via LeMat-Bulk
Functional: GGA-PBE
Structure: relaxed

D(E_F) = 1.604 states/eV/atom
calculated density = 7.00 Mg/m³
symmetry = I4mm
total moment = 0.00 μB per cell

Lattice parameters (Å, degrees): 6.044 6.044 6.044 139.13 139.13 59.17
Positions (direct):
La (0.000, 0.000, 0.000)
Pr (0.314, 0.314, 0.000)
In (0.659, 0.659, 0.000)

Model b:
Compound: LaPrIn
Source: Alexandria via LeMat-Bulk
Functional: GGA-PBE
Structure: relaxed

D(E_F) = 0.735 states/eV/atom
calculated density = 6.94 Mg/m³
symmetry = P3m1
total moment = 0.00 μB per cell

Lattice parameters (Å, degrees): 5.360 5.360 3.794 90.00 90.00 120.00
Positions (direct):
La (0.000, 0.000, 0.000)
Pr (0.667, 0.333, 0.615)
In (0.333, 0.667, 0.334)

Which structure wins on stability? model a wins.

Model a:
Compound: LaPrIn
Source: Alexandria via LeMat-Bulk
Functional: GGA-PBE
Structure: relaxed

D(E_F) = 0.771 states/eV/atom
calculated density = 6.96 Mg/m³
symmetry = C2/m
total moment = 0.00 μB per cell

Lattice parameters (Å, degrees): 5.298 5.298 7.598 92.46 92.46 62.19
Positions (direct):
La (0.168, 0.168, 0.406)
La (0.832, 0.832, 0.594)
Pr (0.167, 0.167, 0.903)
Pr (0.833, 0.833, 0.097)
In (0.500, 0.500, 0.241)
In (0.500, 0.500, 0.759)

Model b:
Compound: LaPrIn
Source: Alexandria via LeMat-Bulk
Functional: GGA-PBE
Structure: relaxed

D(E_F) = 1.240 states/eV/atom
calculated density = 7.05 Mg/m³
symmetry = Pnma
total moment = 0.00 μB per cell

Lattice parameters (Å, degrees): 5.983 5.975 10.399 90.00 90.00 90.00
Positions (direct):
La (0.249, 0.250, 0.172)
La (0.251, 0.750, 0.672)
La (0.749, 0.250, 0.328)
La (0.751, 0.750, 0.828)
Pr (0.250, 0.250, 0.853)
Pr (0.250, 0.750, 0.353)
Pr (0.750, 0.250, 0.647)
Pr (0.750, 0.750, 0.147)
In (0.250, 0.250, 0.507)
In (0.250, 0.750, 0.007)
In (0.750, 0.250, 0.993)
In (0.750, 0.750, 0.493)

Model c:
Compound: LaPrIn
Source: Alexandria via LeMat-Bulk
Functional: GGA-PBE
Structure: relaxed

D(E_F) = 1.196 states/eV/atom
calculated density = 6.87 Mg/m³
symmetry = Pmma
total moment = 0.00 μB per cell

Lattice parameters (Å, degrees): 6.319 3.478 8.680 90.00 90.00 90.00
Positions (direct):
La (0.000, 0.000, 0.000)
La (0.500, 0.000, 0.000)
Pr (0.250, 0.000, 0.379)
Pr (0.750, 0.000, 0.621)
In (0.250, 0.500, 0.707)
In (0.750, 0.500, 0.293)

Which structure wins on stability? model b wins.

Model a:
Compound: La4Pr4In
Source: Alexandria via LeMat-Bulk
Functional: GGA-PBE
Structure: relaxed

D(E_F) = 1.462 states/eV/atom
calculated density = 6.41 Mg/m³
symmetry = P1
total moment = 0.00 μB per cell

Lattice parameters (Å, degrees): 5.878 6.666 8.949 74.74 71.56 89.61
Positions (direct):
La (0.000, 0.000, 0.000)
La (0.102, 0.553, 0.793)
La (0.513, 0.708, 0.973)
La (0.755, 0.848, 0.483)
Pr (0.216, 0.145, 0.562)
Pr (0.415, 0.131, 0.172)
Pr (0.632, 0.270, 0.737)
Pr (0.860, 0.431, 0.274)
In (0.307, 0.642, 0.380)

Model b:
Compound: La4Pr4In
Source: Alexandria via LeMat-Bulk
Functional: GGA-PBE
Structure: relaxed

D(E_F) = 1.501 states/eV/atom
calculated density = 6.57 Mg/m³
symmetry = I4/mmm
total moment = 0.00 μB per cell

Lattice parameters (Å, degrees): 8.212 8.212 8.212 95.60 95.60 143.61
Positions (direct):
La (0.161, 0.161, 0.322)
La (0.161, 0.839, 0.000)
La (0.839, 0.161, 0.000)
La (0.839, 0.839, 0.678)
Pr (0.172, 0.500, 0.672)
Pr (0.500, 0.172, 0.672)
Pr (0.500, 0.828, 0.328)
Pr (0.828, 0.500, 0.328)
In (0.500, 0.500, 0.000)

Which structure wins on stability? model b wins.

Model a:
Compound: La3Pr2In4
Source: Alexandria via LeMat-Bulk
Functional: GGA-PBE
Structure: relaxed

D(E_F) = 1.091 states/eV/atom
calculated density = 6.86 Mg/m³
symmetry = C2/m
total moment = 0.00 μB per cell

Lattice parameters (Å, degrees): 5.522 5.522 10.592 90.24 90.24 60.21
Positions (direct):
La (0.000, 0.000, 0.000)
La (0.334, 0.334, 0.574)
La (0.666, 0.666, 0.426)
Pr (0.333, 0.333, 0.215)
Pr (0.667, 0.667, 0.785)
In (0.001, 0.001, 0.651)
In (0.334, 0.334, 0.896)
In (0.666, 0.666, 0.104)
In (0.999, 0.999, 0.349)

Model b:
Compound: La3Pr2In4
Source: Alexandria via LeMat-Bulk
Functional: GGA-PBE
Structure: relaxed

D(E_F) = 0.972 states/eV/atom
calculated density = 6.88 Mg/m³
symmetry = C2/m
total moment = 0.00 μB per cell

Lattice parameters (Å, degrees): 6.603 6.603 10.359 119.48 119.48 47.16
Positions (direct):
La (0.000, 0.000, 0.000)
La (0.349, 0.349, 0.315)
La (0.651, 0.651, 0.685)
Pr (0.352, 0.352, 0.690)
Pr (0.648, 0.648, 0.310)
In (0.040, 0.040, 0.382)
In (0.289, 0.289, 0.956)
In (0.711, 0.711, 0.044)
In (0.960, 0.960, 0.618)

Which structure wins on stability? model a wins.

Model a:
Compound: La3Pr2In3
Source: Alexandria via LeMat-Bulk
Functional: GGA-PBE
Structure: relaxed

D(E_F) = 0.968 states/eV/atom
calculated density = 6.84 Mg/m³
symmetry = Immm
total moment = 0.00 μB per cell

Lattice parameters (Å, degrees): 11.221 11.221 11.221 156.36 153.40 35.88
Positions (direct):
La (0.000, 0.000, 0.000)
La (0.381, 0.881, 0.500)
La (0.619, 0.119, 0.500)
Pr (0.235, 0.235, 0.000)
Pr (0.765, 0.765, 0.000)
In (0.125, 0.625, 0.500)
In (0.500, 0.500, 0.000)
In (0.875, 0.375, 0.500)

Model b:
Compound: La3Pr2In3
Source: Alexandria via LeMat-Bulk
Functional: GGA-PBE
Structure: relaxed

D(E_F) = 1.658 states/eV/atom
calculated density = 6.52 Mg/m³
symmetry = P6_3/mcm
total moment = 0.00 μB per cell

Lattice parameters (Å, degrees): 9.651 9.651 6.589 90.00 90.00 120.00
Positions (direct):
La (0.000, 0.240, 0.250)
La (0.000, 0.760, 0.750)
La (0.240, 0.000, 0.250)
La (0.240, 0.240, 0.750)
La (0.760, 0.000, 0.750)
La (0.760, 0.760, 0.250)
Pr (0.333, 0.667, 0.000)
Pr (0.333, 0.667, 0.500)
Pr (0.667, 0.333, 0.000)
Pr (0.667, 0.333, 0.500)
In (0.000, 0.398, 0.750)
In (0.000, 0.602, 0.250)
In (0.398, 0.000, 0.750)
In (0.398, 0.398, 0.250)
In (0.602, 0.000, 0.250)
In (0.602, 0.602, 0.750)

Which structure wins on stability? model a wins.

Model a:
Compound: LaPr5In2
Source: Alexandria via LeMat-Bulk
Functional: GGA-PBE
Structure: relaxed

D(E_F) = 1.449 states/eV/atom
calculated density = 6.63 Mg/m³
symmetry = Immm
total moment = 0.00 μB per cell

Lattice parameters (Å, degrees): 8.695 8.695 8.695 154.95 100.89 84.56
Positions (direct):
La (0.000, 0.000, 0.000)
Pr (0.139, 0.360, 0.779)
Pr (0.419, 0.640, 0.779)
Pr (0.500, 0.000, 0.500)
Pr (0.581, 0.360, 0.221)
Pr (0.861, 0.640, 0.221)
In (0.230, 0.730, 0.500)
In (0.770, 0.270, 0.500)

Model b:
Compound: LaPr5In2
Source: Alexandria via LeMat-Bulk
Functional: GGA-PBE
Structure: relaxed

D(E_F) = 1.495 states/eV/atom
calculated density = 7.00 Mg/m³
symmetry = Pbam
total moment = 0.00 μB per cell

Lattice parameters (Å, degrees): 7.101 14.196 5.050 90.00 90.00 90.00
Positions (direct):
La (0.000, 0.000, 0.000)
La (0.500, 0.500, 0.000)
Pr (0.000, 0.500, 0.000)
Pr (0.006, 0.251, 0.000)
Pr (0.248, 0.874, 0.500)
Pr (0.252, 0.374, 0.500)
Pr (0.494, 0.751, 0.000)
Pr (0.500, 0.000, 0.000)
Pr (0.506, 0.249, 0.000)
Pr (0.748, 0.626, 0.500)
Pr (0.752, 0.126, 0.500)
Pr (0.994, 0.749, 0.000)
In (0.247, 0.626, 0.500)
In (0.253, 0.126, 0.500)
In (0.747, 0.874, 0.500)
In (0.753, 0.374, 0.500)

Which structure wins on stability? model b wins.

Model a:
Compound: La2Pr5In4
Source: Alexandria via LeMat-Bulk
Functional: GGA-PBE
Structure: relaxed

D(E_F) = 1.380 states/eV/atom
calculated density = 6.21 Mg/m³
symmetry = Immm
total moment = 0.00 μB per cell

Lattice parameters (Å, degrees): 12.393 12.393 12.393 163.07 135.83 47.63
Positions (direct):
La (0.115, 0.115, 0.000)
La (0.885, 0.885, 0.000)
Pr (0.000, 0.500, 0.500)
Pr (0.152, 0.838, 0.313)
Pr (0.475, 0.162, 0.313)
Pr (0.525, 0.838, 0.687)
Pr (0.848, 0.162, 0.687)
In (0.250, 0.250, 0.000)
In (0.328, 0.000, 0.328)
In (0.672, 0.000, 0.672)
In (0.750, 0.750, 0.000)

Model b:
Compound: La2Pr5In4
Source: Alexandria via LeMat-Bulk
Functional: GGA-PBE
Structure: relaxed

D(E_F) = 1.218 states/eV/atom
calculated density = 6.97 Mg/m³
symmetry = P2/m
total moment = 0.01 μB per cell

Lattice parameters (Å, degrees): 8.908 3.538 10.941 90.00 95.50 90.00
Positions (direct):
La (0.079, 0.000, 0.134)
La (0.921, 0.000, 0.866)
Pr (0.157, 0.000, 0.641)
Pr (0.456, 0.000, 0.166)
Pr (0.500, 0.000, 0.500)
Pr (0.544, 0.000, 0.834)
Pr (0.843, 0.000, 0.359)
In (0.200, 0.500, 0.381)
In (0.253, 0.500, 0.920)
In (0.747, 0.500, 0.080)
In (0.800, 0.500, 0.619)

Which structure wins on stability? model b wins.

Model a:
Compound: La6PrIn
Source: Alexandria via LeMat-Bulk
Functional: GGA-PBE
Structure: relaxed

D(E_F) = 1.396 states/eV/atom
calculated density = 6.64 Mg/m³
symmetry = Fmmm
total moment = 0.00 μB per cell

Lattice parameters (Å, degrees): 8.916 8.132 6.306 75.08 61.81 43.11
Positions (direct):
La (0.116, 0.116, 0.384)
La (0.240, 0.240, 0.760)
La (0.384, 0.384, 0.116)
La (0.616, 0.616, 0.884)
La (0.760, 0.760, 0.240)
La (0.884, 0.884, 0.616)
Pr (0.500, 0.500, 0.500)
In (0.000, 0.000, 0.000)

Model b:
Compound: La6PrIn
Source: Alexandria via LeMat-Bulk
Functional: GGA-PBE
Structure: relaxed

D(E_F) = 1.330 states/eV/atom
calculated density = 6.54 Mg/m³
symmetry = P4/mmm
total moment = 0.00 μB per cell

Lattice parameters (Å, degrees): 5.142 5.142 10.452 90.00 90.00 90.00
Positions (direct):
La (0.000, 0.000, 0.000)
La (0.000, 0.000, 0.500)
La (0.000, 0.500, 0.242)
La (0.000, 0.500, 0.758)
La (0.500, 0.000, 0.242)
La (0.500, 0.000, 0.758)
Pr (0.500, 0.500, 0.500)
In (0.500, 0.500, 0.000)

Which structure wins on stability? model b wins.

Model a:
Compound: LaPrIn2
Source: Alexandria via LeMat-Bulk
Functional: GGA-PBE
Structure: relaxed

D(E_F) = 0.737 states/eV/atom
calculated density = 6.96 Mg/m³
symmetry = P4/mmm
total moment = 0.00 μB per cell

Lattice parameters (Å, degrees): 3.929 3.929 7.869 90.00 90.00 90.00
Positions (direct):
La (0.000, 0.000, 0.000)
Pr (0.000, 0.000, 0.500)
In (0.500, 0.500, 0.256)
In (0.500, 0.500, 0.744)

Model b:
Compound: LaPrIn2
Source: Alexandria via LeMat-Bulk
Functional: GGA-PBE
Structure: relaxed

D(E_F) = 0.713 states/eV/atom
calculated density = 6.42 Mg/m³
symmetry = R-3m
total moment = 0.00 μB per cell

Lattice parameters (Å, degrees): 10.209 10.209 10.209 22.07 22.07 22.07
Positions (direct):
La (0.000, 0.000, 0.000)
Pr (0.500, 0.500, 0.500)
In (0.249, 0.249, 0.249)
In (0.751, 0.751, 0.751)

Which structure wins on stability? model a wins.

Model a:
Compound: LaPr4In3
Source: Alexandria via LeMat-Bulk
Functional: GGA-PBE
Structure: relaxed

D(E_F) = 1.318 states/eV/atom
calculated density = 7.00 Mg/m³
symmetry = C2/m
total moment = 0.86 μB per cell

Lattice parameters (Å, degrees): 10.254 10.254 5.089 104.32 104.32 28.67
Positions (direct):
La (0.000, 0.000, 0.000)
Pr (0.134, 0.134, 0.634)
Pr (0.366, 0.366, 0.866)
Pr (0.634, 0.634, 0.134)
Pr (0.866, 0.866, 0.366)
In (0.251, 0.251, 0.252)
In (0.500, 0.500, 0.500)
In (0.749, 0.749, 0.748)

Model b:
Compound: LaPr4In3
Source: Alexandria via LeMat-Bulk
Functional: GGA-PBE
Structure: relaxed

D(E_F) = 1.488 states/eV/atom
calculated density = 7.04 Mg/m³
symmetry = Pmma
total moment = 0.01 μB per cell

Lattice parameters (Å, degrees): 11.472 7.291 5.906 90.00 90.00 90.00
Positions (direct):
La (0.000, 0.000, 0.000)
La (0.500, 0.000, 0.000)
Pr (0.000, 0.256, 0.500)
Pr (0.000, 0.744, 0.500)
Pr (0.250, 0.260, 0.089)
Pr (0.250, 0.740, 0.089)
Pr (0.500, 0.256, 0.500)
Pr (0.500, 0.744, 0.500)
Pr (0.750, 0.260, 0.911)
Pr (0.750, 0.740, 0.911)
In (0.000, 0.500, 0.000)
In (0.250, 0.000, 0.599)
In (0.250, 0.500, 0.599)
In (0.500, 0.500, 0.000)
In (0.750, 0.000, 0.401)
In (0.750, 0.500, 0.401)

Which structure wins on stability? model a wins.